1.
Material: BaZnNi2
Method: DFT, PBE
State: relaxed Values from VASP.

ΔE_f (meV/atom): 460
DFT total energy (eV per atom): -3.230
Symmetry: Cmmm
Total magnetic moment (μB/f.u.): 0.0

```
&SYSTEM
  ibrav = 0, nat = 4, ntyp = 3
/
ATOMIC_SPECIES
Ba 137.33 Ba.upf
Zn 65.41 Zn.upf
Ni 58.69 Ni.upf
CELL_PARAMETERS angstrom
3.125 -3.482 0.000
3.125 3.482 0.000
0.000 0.000 3.516
ATOMIC_POSITIONS angstrom
Ba 0.000 0.000 0.000
Zn 3.125 0.000 0.000
Ni 1.562 1.741 1.758
Ni 1.562 -1.741 1.758
```

2.
Material: NbAgO2F
Method: DFT, PBE
State: relaxed Values from VASP.

E_form (uncorrected) (kJ/mol of formula units): -839.4
DFT total energy (eV per atom): -6.682
Symmetry: P4/mmm
Total magnetic moment (μB/f.u.): 0.4

```
&SYSTEM
  ibrav = 0, nat = 5, ntyp = 4
/
ATOMIC_SPECIES
Nb 92.91 Nb.upf
Ag 107.87 Ag.upf
O 16.00 O.upf
F 19.00 F.upf
CELL_PARAMETERS angstrom
4.013 0.000 0.000
0.000 4.013 0.000
0.000 0.000 4.265
ATOMIC_POSITIONS angstrom
Nb 0.000 0.000 0.000
Ag 2.006 2.006 2.133
O 0.000 2.006 0.000
O 2.006 0.000 0.000
F 0.000 0.000 2.133
```

3.
Material: Pm2Nd3Sn3
Method: DFT, PBE
State: relaxed Values from VASP.

ΔE_f (meV/atom): -596
DFT total energy (eV per atom): -5.072
Symmetry: Cmcm
Total magnetic moment (μB/f.u.): 0.6

```
&SYSTEM
  ibrav = 0, nat = 16, ntyp = 3
/
ATOMIC_SPECIES
Pm 145.00 Pm.upf
Nd 144.24 Nd.upf
Sn 118.71 Sn.upf
CELL_PARAMETERS angstrom
2.361 -6.897 0.000
2.361 6.897 0.000
0.000 0.000 15.804
ATOMIC_POSITIONS angstrom
Pm 2.361 3.766 9.372
Pm 2.361 3.766 14.334
Pm 2.361 -3.766 1.470
Pm 2.361 -3.766 6.432
Nd 2.361 6.115 1.862
Nd 2.361 6.115 6.040
Nd 2.361 1.856 3.951
Nd 2.361 -1.856 11.853
Nd 2.361 -6.115 9.764
Nd 2.361 -6.115 13.942
Sn 2.361 1.806 11.853
Sn 2.361 1.324 0.622
Sn 2.361 1.324 7.280
Sn 2.361 -1.324 8.525
Sn 2.361 -1.324 15.182
Sn 2.361 -1.806 3.951
```

4.
Material: Pm3Sm2Y6Pu
Method: DFT, PBE
State: relaxed Values from VASP.

ΔE_f (meV/atom): 44
DFT total energy (eV per atom): -6.357
Symmetry: C2/m
Total magnetic moment (μB/f.u.): 6.5

```
&SYSTEM
  ibrav = 0, nat = 12, ntyp = 4
/
ATOMIC_SPECIES
Pm 145.00 Pm.upf
Sm 150.36 Sm.upf
Y 88.91 Y.upf
Pu 244.00 Pu.upf
CELL_PARAMETERS angstrom
3.112 -5.393 0.000
3.112 5.393 0.000
-2.078 0.000 11.625
ATOMIC_POSITIONS angstrom
Pm 0.000 0.000 0.000
Pm 3.112 1.801 0.000
Pm 3.112 -1.801 0.000
Sm 2.073 3.596 5.813
Sm 2.073 -3.596 5.813
Y 1.050 1.775 2.941
Y 0.022 0.000 8.686
Y 1.050 -1.775 2.941
Y 3.095 1.775 8.685
Y 4.123 0.000 2.940
Y 3.095 -1.775 8.685
Pu 2.073 0.000 5.813
```

5.
Material: CsNa2TlAg
Method: DFT, PBE
State: relaxed Values from VASP.

ΔE_f (meV/atom): 56
DFT total energy (eV per atom): -1.686
Symmetry: P4/mmm
Total magnetic moment (μB/f.u.): 0.0

```
&SYSTEM
  ibrav = 0, nat = 5, ntyp = 4
/
ATOMIC_SPECIES
Cs 132.91 Cs.upf
Na 22.99 Na.upf
Tl 204.38 Tl.upf
Ag 107.87 Ag.upf
CELL_PARAMETERS angstrom
6.120 0.000 0.000
0.000 6.120 0.000
0.000 0.000 5.520
ATOMIC_POSITIONS angstrom
Cs 0.000 0.000 0.000
Na 0.000 3.060 2.760
Na 3.060 0.000 2.760
Tl 3.060 3.060 2.760
Ag 3.060 3.060 0.000
```

6.
Material: YCrTc2
Method: DFT, PBE
State: relaxed Values from VASP.

ΔE_f (meV/atom): 273
DFT total energy (eV per atom): -8.931
Symmetry: C2/m
Total magnetic moment (μB/f.u.): 0.0

```
&SYSTEM
  ibrav = 0, nat = 4, ntyp = 3
/
ATOMIC_SPECIES
Y 88.91 Y.upf
Cr 52.00 Cr.upf
Tc 98.00 Tc.upf
CELL_PARAMETERS angstrom
4.603 -1.528 0.000
4.603 1.528 0.000
-1.714 0.000 4.897
ATOMIC_POSITIONS angstrom
Y 0.000 0.000 0.000
Cr 3.746 0.000 2.449
Tc 0.828 0.000 3.338
Tc 6.664 0.000 1.559
```

7.
Material: AcZnP
Method: DFT, PBE
State: relaxed Values from VASP.

ΔE_f (meV/atom): -460
DFT total energy (eV per atom): -4.057
Symmetry: I4mm
Total magnetic moment (μB/f.u.): 0.0

```
&SYSTEM
  ibrav = 0, nat = 3, ntyp = 3
/
ATOMIC_SPECIES
Ac 227.00 Ac.upf
Zn 65.41 Zn.upf
P 30.97 P.upf
CELL_PARAMETERS angstrom
-2.154 2.154 4.311
2.154 -2.154 4.311
2.154 2.154 -4.311
ATOMIC_POSITIONS angstrom
Ac 0.000 0.000 0.000
Zn 0.000 0.000 5.563
P 0.000 0.000 3.133
```

8.
Material: LaZrPb
Method: DFT, PBE
State: relaxed Values from VASP.

ΔE_f (meV/atom): -71
DFT total energy (eV per atom): -5.799
Symmetry: I4mm
Total magnetic moment (μB/f.u.): 0.3

```
&SYSTEM
  ibrav = 0, nat = 3, ntyp = 3
/
ATOMIC_SPECIES
La 138.91 La.upf
Zr 91.22 Zr.upf
Pb 207.20 Pb.upf
CELL_PARAMETERS angstrom
-1.689 1.689 7.486
1.689 -1.689 7.486
1.689 1.689 -7.486
ATOMIC_POSITIONS angstrom
La 0.000 0.000 0.000
Zr 0.000 0.000 4.909
Pb 0.000 0.000 10.148
```

9.
Material: YHg2Os2
Method: DFT, PBE
State: relaxed Values from VASP.

ΔE_f (meV/atom): 515
DFT total energy (eV per atom): -5.390
Symmetry: I4/mmm
Total magnetic moment (μB/f.u.): 0.0

```
&SYSTEM
  ibrav = 0, nat = 5, ntyp = 3
/
ATOMIC_SPECIES
Y 88.91 Y.upf
Hg 200.59 Hg.upf
Os 190.23 Os.upf
CELL_PARAMETERS angstrom
-1.932 1.932 6.816
1.932 -1.932 6.816
1.932 1.932 -6.816
ATOMIC_POSITIONS angstrom
Y 0.000 0.000 0.000
Hg 0.000 0.000 5.407
Hg 0.000 0.000 8.225
Os 1.932 0.000 3.408
Os 0.000 1.932 3.408
```

10.
Material: TbSm2Co
Method: DFT, PBE
State: relaxed Values from VASP.

ΔE_f (meV/atom): 49
DFT total energy (eV per atom): -5.244
Symmetry: R3m
Total magnetic moment (μB/f.u.): 0.0

```
&SYSTEM
  ibrav = 0, nat = 4, ntyp = 3
/
ATOMIC_SPECIES
Tb 158.93 Tb.upf
Sm 150.36 Sm.upf
Co 58.93 Co.upf
CELL_PARAMETERS angstrom
1.904 1.099 9.131
-1.904 1.099 9.131
0.000 -2.199 9.131
ATOMIC_POSITIONS angstrom
Tb 0.000 0.000 0.000
Sm 0.000 0.000 15.248
Sm 0.000 0.000 21.216
Co 0.000 0.000 4.530
```

11.
Material: ZrTiNi
Method: DFT, PBE
State: relaxed Values from VASP.

ΔE_f (meV/atom): -283
DFT total energy (eV per atom): -7.691
Symmetry: P4/nmm
Total magnetic moment (μB/f.u.): 0.0

```
&SYSTEM
  ibrav = 0, nat = 6, ntyp = 3
/
ATOMIC_SPECIES
Zr 91.22 Zr.upf
Ti 47.87 Ti.upf
Ni 58.69 Ni.upf
CELL_PARAMETERS angstrom
4.098 0.000 0.000
0.000 4.098 0.000
0.000 0.000 6.219
ATOMIC_POSITIONS angstrom
Zr 1.025 1.025 0.786
Zr 3.074 3.074 5.434
Ti 1.025 3.074 3.110
Ti 3.074 1.025 3.110
Ni 1.025 1.025 4.537
Ni 3.074 3.074 1.682
```

12.
Material: Rb4NdPu3O12
Method: DFT, PBE
State: relaxed Values from VASP.

E_form (uncorrected) (kJ/mol of formula units): -4879.1
DFT total energy (eV per atom): -8.085
Symmetry: Im-3m
Total magnetic moment (μB/f.u.): 7.0

```
&SYSTEM
  ibrav = 0, nat = 20, ntyp = 4
/
ATOMIC_SPECIES
Rb 85.47 Rb.upf
Nd 144.24 Nd.upf
Pu 244.00 Pu.upf
O 16.00 O.upf
CELL_PARAMETERS angstrom
-4.361 4.361 4.361
4.361 -4.361 4.361
4.361 4.361 -4.361
ATOMIC_POSITIONS angstrom
Rb 2.180 2.180 -2.180
Rb 2.180 -2.180 2.180
Rb -2.180 2.180 2.180
Rb 2.180 2.180 2.180
Nd 0.000 0.000 0.000
Pu 4.361 0.000 0.000
Pu 0.000 4.361 0.000
Pu 0.000 0.000 4.361
O 2.364 0.000 0.000
O 6.357 0.000 0.000
O 4.361 2.180 0.000
O 4.361 0.000 2.180
O 0.000 2.364 0.000
O 0.000 0.000 2.364
O 2.180 4.361 0.000
O 2.180 0.000 4.361
O 0.000 6.357 0.000
O 0.000 0.000 6.357
O 0.000 4.361 2.180
O 0.000 2.180 4.361
```